## GdTaSn (PBE)

Data for a relaxed structure of GdTaSn.

Cell lengths 5.0094, 5.0094, 5.0094 Å; angles 60.00, 60.00, 60.00 degrees
Positions (direct):
1 Gd 0.0000 0.0000 0.0000
2 Ta 0.7500 0.7500 0.7500
3 Sn 0.2500 0.2500 0.2500

## Properties
Its space group is F-43m, No. 216. For the total magnetization, the calculation gives 1.031 μB per atom. The uncorrected energy is -5.851 eV/atom.


## ZnAsPdAu (PBE)

Data for a relaxed structure of ZnAsPdAu.

Cell lengths 4.5483, 4.5483, 4.5483 Å; angles 60.00, 60.00, 60.00 degrees
Positions (direct):
1 Pd 0.2500 0.2500 0.2500
2 Zn 0.0000 0.0000 0.0000
3 Au 0.7500 0.7500 0.7500
4 As 0.5000 0.5000 0.5000

## Properties
Its energy above the lowest structure with this stoichiometry is 0.00 eV per formula unit. Its space group is F-43m, No. 216.


## ThScSn (PBE)

Data for a relaxed structure of ThScSn.

Cell lengths 5.0793, 5.0793, 5.0793 Å; angles 60.00, 60.00, 60.00 degrees
Positions (direct):
1 Sc 0.5000 0.5000 0.5000
2 Sn 0.2500 0.2500 0.2500
3 Th 0.0000 0.0000 0.0000

## Properties
Its space group is F-43m, No. 216. For the total magnetization, the calculation gives 0.010 μB per atom. The uncorrected energy is -6.057 eV/atom.


## LiPuRe (PBE)

Data for a relaxed structure of LiPuRe.

Cell lengths 4.3585, 4.3585, 4.3585 Å; angles 60.00, 60.00, 60.00 degrees
Positions (direct):
1 Re 0.0000 0.0000 0.0000
2 Pu 0.2500 0.2500 0.2500
3 Li 0.7500 0.7500 0.7500

## Properties
Its energy above the lowest structure with this stoichiometry is 0.00 eV per formula unit. Its space group is F-43m, No. 216. For the total magnetization, the calculation gives 1.329 μB per atom.


## FeSnMo4C2 (PBE)

Data for a relaxed structure of FeSnMo4C2.

Cell lengths 3.0978, 3.0978, 13.3678 Å; angles 90.00, 90.00, 120.00 degrees
Positions (direct):
1 Fe 0.6667 0.3333 0.5000
2 Mo 0.6667 0.3333 0.1767
3 Mo 0.0000 0.0000 0.6522
4 Mo 0.6667 0.3333 0.8233
5 Mo 0.0000 0.0000 0.3478
6 Sn 0.0000 0.0000 0.0000
7 C 0.3333 0.6667 0.2610
8 C 0.3333 0.6667 0.7390

## Properties
Its space group is P-6m2, No. 187. For the total magnetization, the calculation gives 0.257 μB per atom. The uncorrected energy is -9.144 eV/atom.


## Gd2Ag2SeS3 (PBE)

Data for a relaxed structure of Gd2Ag2SeS3.

Cell lengths 6.6445, 6.6445, 4.2077 Å; angles 90.80, 90.80, 88.45 degrees
Positions (direct):
1 Gd 0.5088 0.5088 0.2170
2 Gd 0.9933 0.9933 0.7723
3 Ag 0.9993 0.4982 0.0177
4 Ag 0.4982 0.9993 0.0177
5 Se 0.2974 0.2974 0.7115
6 S 0.2007 0.8007 0.2634
7 S 0.7016 0.7016 0.7369
8 S 0.8007 0.2007 0.2634

## Properties
Its space group is Cm, No. 8. For the total magnetization, the calculation gives 0.001 μB per atom. The uncorrected energy is -5.158 eV/atom.


## KZrNO (PBE)

Data for a relaxed structure of KZrNO.

Cell lengths 3.4695, 6.0795, 7.3480 Å; angles 90.00, 90.00, 90.00 degrees
Positions (direct):
1 O 0.5000 0.8327 0.9041
2 O 0.5000 0.3327 0.0959
3 K 0.0000 0.4830 0.3479
4 K 0.0000 0.9830 0.6521
5 N 0.0000 0.9365 0.2828
6 N 0.0000 0.4365 0.7172
7 Zr 0.5000 0.5018 0.8553
8 Zr 0.5000 0.0018 0.1448

## Properties
Its energy above the lowest structure with this stoichiometry is 0.00 eV per formula unit. Its space group is Pmc2_1, No. 26. For the total magnetization, the calculation gives 0.000 μB per atom.


## Nd2Ho2CCl5 (PBE)

Data for a relaxed structure of Nd2Ho2CCl5.

Cell lengths 8.8409, 8.8409, 8.1630 Å; angles 103.22, 103.22, 24.94 degrees
Positions (direct):
1 Cl 0.1686 0.1686 0.3202
2 Cl 0.1753 0.1753 0.8624
3 Cl 0.8314 0.8314 0.6798
4 Cl 0.8247 0.8247 0.1376
5 Cl 0.5000 0.5000 0.5000
6 Nd 0.0020 0.0020 0.7865
7 Nd 0.9980 0.9980 0.2135
8 C 0.5000 0.5000 0.0000
9 Ho 0.6421 0.6421 0.0792
10 Ho 0.3579 0.3579 0.9208

## Properties
Its space group is C2/m, No. 12. For the total magnetization, the calculation gives 0.001 μB per atom. The uncorrected energy is -5.406 eV/atom.


## LiZnAgHg (PBE)

Data for a relaxed structure of LiZnAgHg.

Cell lengths 4.6262, 4.6262, 4.6262 Å; angles 60.00, 60.00, 60.00 degrees
Positions (direct):
1 Li 0.7500 0.7500 0.7500
2 Hg 0.0000 0.0000 0.0000
3 Zn 0.5000 0.5000 0.5000
4 Ag 0.2500 0.2500 0.2500

## Properties
Its energy above the lowest structure with this stoichiometry is 0.17 eV per formula unit. Its space group is F-43m, No. 216.


## Cu2Ag3 (PBE)

Data for a relaxed structure of Cu2Ag3.

Cell lengths 6.8564, 2.8480, 8.2098 Å; angles 90.00, 103.01, 90.00 degrees
Positions (direct):
1 Cu 0.9922 0.0000 0.9776
2 Cu 0.8912 0.5000 0.7074
3 Cu 0.6190 0.0000 0.8023
4 Cu 0.8019 0.0000 0.4127
5 Ag 0.1804 0.0000 0.5977
6 Ag 0.7072 0.5000 0.0903
7 Ag 0.0851 0.5000 0.2875
8 Ag 0.4077 0.0000 0.2081
9 Ag 0.5152 0.5000 0.5177
10 Ag 0.3001 0.5000 0.8987

## Properties
Its energy above the lowest structure with this stoichiometry is 0.28 eV per formula unit. Its space group is Pm, No. 6. As for the formation enthalpy at 0 K: 0.089 eV per atom.


## Nd3In3AgPdPt (PBE)

Data for a relaxed structure of Nd3In3AgPdPt.

Cell lengths 7.8237, 7.8237, 4.0576 Å; angles 90.00, 90.00, 120.00 degrees
Positions (direct):
1 In 0.2570 0.9952 0.5000
2 In 0.0048 0.2618 0.5000
3 In 0.7382 0.7430 0.5000
4 Nd 0.9940 0.5823 0.0000
5 Nd 0.4177 0.4117 0.0000
6 Nd 0.5883 0.0060 0.0000
7 Pt 0.6667 0.3333 0.5000
8 Pd 0.3333 0.6667 0.5000
9 Ag 0.0000 0.0000 0.0000

## Properties
Its space group is P-6, No. 174. For the total magnetization, the calculation gives 0.000 μB per atom. The uncorrected energy is -4.799 eV/atom.


Number 1: ρ 8.54 g/cm3. Number 2: ρ 11.07 g/cm3. Number 3: ρ 7.09 g/cm3. Number 4: ρ 12.40 g/cm3. Number 5: ρ 8.70 g/cm3. Number 6: ρ 6.31 g/cm3. Number 7: ρ 3.44 g/cm3. Number 8: ρ 5.13 g/cm3. Number 9: ρ 9.03 g/cm3. Number 10: ρ 9.58 g/cm3. Number 11: ρ 9.16 g/cm3.